(1)
Material: Mn2CrTc
Method: DFT, PBE
State: optimized geometry

```
16
Lattice="6.538 0.000 0.000 0.000 6.538 0.000 0.000 0.000 5.096" Properties=species:S:1:pos:R:3 pbc="T T T"
Mn 1.531 1.635 0.637
Mn 1.635 4.801 1.911
Mn 1.635 5.007 4.459
Mn 1.738 1.635 3.185
Mn 4.801 4.904 3.185
Mn 4.904 1.531 4.459
Mn 4.904 1.738 1.911
Mn 5.007 4.904 0.637
Cr 0.000 0.000 0.000
Cr 0.000 3.269 1.274
Cr 3.269 0.000 3.822
Cr 3.269 3.269 2.548
Tc 0.000 0.000 2.548
Tc 0.000 3.269 3.822
Tc 3.269 0.000 1.274
Tc 3.269 3.269 0.000
```

## Properties
* ΔE_f: 0.60 eV per atom
* space group: I-42d, No. 122
* energy relative to the lowest polymorph listed for this composition: 0.512 eV/atom

=====

(2)
Material: AcCd4Ga2
Method: DFT, PBE
State: optimized geometry

```
14
Lattice="4.531 0.000 0.000 0.000 16.063 0.000 0.000 0.000 4.522" Properties=species:S:1:pos:R:3 pbc="T T T"
Ac 0.000 0.000 0.000
Ac 2.266 8.031 0.000
Cd 0.000 2.894 2.261
Cd 0.000 5.066 0.000
Cd 0.000 10.997 0.000
Cd 0.000 13.169 2.261
Cd 2.266 2.965 0.000
Cd 2.266 5.137 2.261
Cd 2.266 10.925 2.261
Cd 2.266 13.097 0.000
Ga 0.000 6.766 2.261
Ga 0.000 9.296 2.261
Ga 2.266 1.265 2.261
Ga 2.266 14.797 2.261
```

## Properties
* ΔE_f: -0.30 eV per atom
* space group: Cmmm, No. 65

=====

(3)
Material: Dy3Ag2Hg4
Method: DFT, PBE
State: optimized geometry

```
9
Lattice="5.437 -2.459 0.000 5.437 2.459 0.000 -4.638 0.000 7.843" Properties=species:S:1:pos:R:3 pbc="T T T"
Dy 0.000 0.000 0.000
Dy 2.068 0.000 2.625
Dy 4.169 0.000 5.219
Ag 0.904 0.000 5.661
Ag 5.332 0.000 2.182
Hg -1.151 0.000 3.061
Hg -1.276 0.000 7.425
Hg 7.512 0.000 0.419
Hg 7.387 0.000 4.782
```

## Properties
* ΔE_f: -0.37 eV per atom
* space group: C2/m, No. 12
* energy relative to the lowest polymorph listed for this composition: 0.004 eV/atom

=====

(4)
Material: Li3Np2ZnN6
Method: DFT, PBE
State: optimized geometry

```
12
Lattice="6.439 -1.759 0.000 6.439 1.759 0.000 -1.649 0.000 6.322" Properties=species:S:1:pos:R:3 pbc="T T T"
Li 0.000 0.000 0.000
Li 3.234 0.000 4.206
Li 7.994 0.000 2.116
Np 4.096 0.000 1.171
Np 7.133 0.000 5.151
Zn -0.824 0.000 3.161
N 1.095 0.000 3.901
N 2.201 0.000 0.326
N 5.969 0.000 1.578
N 5.260 0.000 4.744
N 9.028 0.000 5.996
N 10.134 0.000 2.421
```

## Properties
* space group: C2/m, No. 12
* E_form (uncorrected): -645 meV/atom

=====

(5)
Material: Ba3YTl2O8
Method: DFT, PBE
State: optimized geometry

```
14
Lattice="6.229 0.000 0.000 -3.115 5.395 0.000 0.000 0.000 8.001" Properties=species:S:1:pos:R:3 pbc="T T T"
Ba 0.000 0.000 0.000
Ba 0.000 3.597 4.997
Ba 3.115 1.798 3.004
Y 0.000 0.000 4.001
Tl 0.000 3.597 1.470
Tl 3.115 1.798 6.531
O 0.000 1.762 2.636
O -1.588 4.514 2.636
O 1.526 0.881 5.366
O 0.000 3.597 7.432
O 3.115 1.798 0.569
O 1.588 4.514 2.636
O 4.703 0.881 5.366
O 3.115 3.632 5.366
```

## Properties
* space group: P-3m1, No. 164
* E_form (uncorrected): -1866 meV/atom

=====

(6)
Material: CaHfHO2
Method: DFT, PBE
State: optimized geometry

```
5
Lattice="4.094 0.000 0.000 0.000 4.094 0.000 0.000 0.000 6.371" Properties=species:S:1:pos:R:3 pbc="T T T"
Ca 0.000 0.000 0.000
Hf 0.000 0.000 3.185
H 2.047 2.047 3.185
O 0.000 2.047 0.000
O 2.047 0.000 0.000
```

## Properties
* space group: P4/mmm, No. 123

=====

(7)
Material: MgAs2Pd4
Method: DFT, PBE
State: optimized geometry

```
14
Lattice="2.237 -3.871 0.000 2.237 3.871 0.000 0.000 0.000 13.262" Properties=species:S:1:pos:R:3 pbc="T T T"
Mg 2.237 3.863 9.947
Mg 2.237 -3.863 3.316
As 2.237 1.288 7.497
As 2.237 1.288 12.396
As 2.237 -1.288 0.866
As 2.237 -1.288 5.765
Pd 0.000 0.000 0.000
Pd 0.000 0.000 6.631
Pd 2.237 1.298 1.818
Pd 2.237 1.298 4.813
Pd 2.237 1.281 9.947
Pd 2.237 -1.281 3.316
Pd 2.237 -1.298 8.449
Pd 2.237 -1.298 11.445
```

## Properties
* ΔE_f: -0.38 eV per atom
* space group: Cmcm, No. 63
* energy relative to the lowest polymorph listed for this composition: 0.054 eV/atom

=====

(8)
Material: VIn2Ag
Method: DFT, PBE
State: optimized geometry

```
12
Lattice="3.052 0.000 0.000 -1.526 2.643 0.000 0.000 0.000 31.305" Properties=species:S:1:pos:R:3 pbc="T T T"
V 0.000 0.000 0.000
V 0.000 1.762 20.870
V 1.526 0.881 10.435
In 0.000 0.000 2.749
In 0.000 0.000 28.556
In 0.000 1.762 18.121
In 0.000 1.762 23.619
In 1.526 0.881 7.686
In 1.526 0.881 13.184
Ag 0.000 0.000 15.653
Ag 0.000 1.762 5.218
Ag 1.526 0.881 26.087
```

## Properties
* ΔE_f: 0.54 eV per atom
* space group: R-3m, No. 166
* energy relative to the lowest polymorph listed for this composition: 0.298 eV/atom

=====

Electronic total energy / eV per atom: -8.9844 -2.2747 -2.6698 -7.5496 -5.9109 -4.4826 -4.9080 -3.8242